PaTlPb | PBE | relaxed

Cell lengths 7.3232, 7.3232, 7.3232 Å; angles 90.00, 90.00, 90.00 degrees
Last column: nearest neighbours and their distance in Å.
Space group F-43m (No. 216)
Unique sites:
Pa  0.0000  0.0000  0.0000 [4 per cell]  4 Tl 3.17
Tl  0.2500  0.2500  0.2500 [4 per cell]  4 Pb 3.17, 4 Pa 3.17
Pb  0.0000  0.0000  0.5000 [4 per cell]  4 Tl 3.17

- Energy relative to the lowest polymorph listed for this composition: 0.1715 eV/atom
- Size of the total moment: 0.572 μB/atom